Entry 1:
This record from Alexandria describes an optimized crystal structure of NbTeI2Cl. The functional is PBE.

Output
ΔE_f (raw) ... 1.115 eV/atom
SG ... P4/mmm (123)
Energy relative to the lowest polymorph listed for this composition ... 1.141 eV per atom

a = 5.416 Å, b = 5.416 Å, c = 5.773 Å
α = 90.00°, β = 90.00°, γ = 90.00°
Atoms (fractional coordinates):
Nb  0.000  0.000  0.000
Te  0.500  0.500  0.000
I  0.000  0.500  0.500
I  0.500  0.000  0.500
Cl  0.500  0.500  0.500

---

Entry 2:
This record from Alexandria describes an optimized crystal structure of HfGaPd6. The functional is PBE.

Output
Energy of formation ... -2.9 eV per formula unit
SG ... C2/m (12)
Energy relative to the lowest polymorph listed for this composition ... 0.322 eV per atom

a = 4.731 Å, b = 4.731 Å, c = 7.230 Å
α = 107.31°, β = 107.31°, γ = 70.83°
Atoms (fractional coordinates):
Hf  0.000  0.000  0.000
Ga  0.500  0.500  0.500
Pd  0.054  0.569  0.204
Pd  0.154  0.154  0.441
Pd  0.431  0.946  0.796
Pd  0.569  0.054  0.204
Pd  0.846  0.846  0.559
Pd  0.946  0.431  0.796

---

Entry 3:
This record from Alexandria describes an optimized crystal structure of VGa3Pd. The functional is PBE.

Output
Energy of formation ... 2.8 eV per formula unit
SG ... Pm-3m (221)

a = 4.715 Å, b = 4.715 Å, c = 4.715 Å
α = 90.00°, β = 90.00°, γ = 90.00°
Atoms (fractional coordinates):
V  0.000  0.000  0.000
Ga  0.000  0.000  0.500
Ga  0.000  0.500  0.000
Ga  0.500  0.000  0.000
Pd  0.500  0.500  0.500

---

Respective total energy values: -12.6 -47.0 -20.6 eV per cell.
Respective total magnetic moment values: 2.99 0.00 0.00 μB per cell.